# MnNiAu2O8

A geometry-optimized MnNiAu2O8 structure (PBE+U, Alexandria).

Properties
**Total energy**: -4.593 eV/atom
**Total magnetization**: 4.94 μB per formula unit

Cell lengths 6.4151, 6.4151, 6.9618 Å; angles 90.00, 90.00, 90.00 degrees
With the nearest neighbours (Å) after each atom.
Space group I-4m2 (No. 119)
Unique sites:
Mn 0.0000 0.0000 0.0000 (multiplicity 2)  4 O 1.99
Ni 0.0000 0.5000 0.7500 (multiplicity 2)  8 O 2.03-2.27
Au 0.0000 0.0000 0.5000 (multiplicity 2)  4 O 1.97
Au 0.0000 0.5000 0.2500 (multiplicity 2)  4 O 1.99
O 0.0000 0.1846 0.7268 (multiplicity 8)  1 Au 1.97, 1 Ni 2.03
O 0.0000 0.3095 0.0246 (multiplicity 8)  1 Au 1.99, 1 Mn 1.99, 1 O 2.22